Entry 1:
# NbV3Mo

A relaxed structure of NbV3Mo (PBE, Alexandria).

Geometry as extended XYZ:
```
20
Lattice="6.1385 -4.9698 0.0000 6.1385 4.9698 0.0000 -0.8896 0.0000 5.0270" Properties=species:S:1:pos:R:3 pbc="T T T"
Nb 4.2407 4.0624 4.8798
Nb 6.7020 4.0624 2.6607
Nb 4.6855 -4.0624 2.3663
Nb 7.1468 -4.0624 0.1472
V 3.9638 3.0626 2.2425
V 3.0481 1.8333 4.5051
V 3.2605 0.5787 1.8523
V 7.8684 3.0626 0.2710
V 2.8157 -0.5787 4.3658
V 3.4929 -1.8333 1.9916
V 7.8945 1.8333 3.0354
V 8.5717 0.5787 0.6612
V 3.5190 -3.0626 4.7560
V 8.1269 -0.5787 3.1747
V 8.3393 -1.8333 0.5219
V 7.4236 -3.0626 2.7846
Mo 5.9161 1.5492 1.2568
Mo 5.4713 1.2492 3.7703
Mo 5.9161 -1.2492 1.2568
Mo 5.4713 -1.5492 3.7703
```

ΔE to the lowest computed polymorph, meV per atom: 172
DOS(E_F), states/eV/cell: 22.53
Formation enthalpy at 0 K, meV per atom: 152.6
Final energy, eV per atom: -9.50
Crystal system: monoclinic


Entry 2:
# Nb2V4Mo3

A relaxed structure of Nb2V4Mo3 (PBE, Alexandria).

Geometry as extended XYZ:
```
9
Lattice="4.6515 -2.2149 0.0000 4.6515 2.2149 0.0000 -4.5392 0.0000 6.6981" Properties=species:S:1:pos:R:3 pbc="T T T"
Nb -0.5046 0.0000 1.4855
Nb 5.2684 0.0000 5.2125
V 2.1267 0.0000 0.7805
V 1.1135 0.0000 3.6820
V 3.6503 0.0000 3.0161
V 2.6371 0.0000 5.9176
Mo -1.4630 0.0000 4.4612
Mo 4.6515 0.0000 0.0000
Mo 6.2269 0.0000 2.2369
```

DOS(E_F), states/eV/cell: 12.47
Formation enthalpy at 0 K, meV per atom: -55.4
Final energy, eV per atom: -9.96
Crystal system: monoclinic


Entry 3:
# Nb12VMo6

A relaxed structure of Nb12VMo6 (PBE, Alexandria).

Geometry as extended XYZ:
```
19
Lattice="4.8690 2.8111 4.1493 -4.8690 2.8111 4.1493 0.0000 -5.6222 4.1493" Properties=species:S:1:pos:R:3 pbc="T T T"
Nb -4.3802 0.8666 5.1873
Nb -2.9406 -3.3600 7.2607
Nb -1.5539 -0.4455 3.8027
Nb 1.4396 -4.2266 5.1872
Nb 1.1628 -1.1230 3.8027
Nb 0.3911 1.5685 3.8027
Nb -0.3911 -1.5685 8.6452
Nb -1.1628 1.1230 8.6452
Nb -1.4396 4.2266 7.2607
Nb 1.5539 0.4455 8.6452
Nb 2.9406 3.3600 5.1873
Nb 4.3801 -0.8666 7.2607
V 0.0000 0.0000 6.2240
Mo -0.6819 -2.4835 5.7357
Mo -2.4917 -0.6512 6.7122
Mo -1.8098 1.8323 5.7357
Mo 1.8098 -1.8323 6.7122
Mo 2.4917 0.6512 5.7357
Mo 0.6819 2.4835 6.7122
```

DOS(E_F), states/eV/cell: 19.40
Formation enthalpy at 0 K, meV per atom: 150.9
Final energy, eV per atom: -10.11
Crystal system: trigonal


Entry 4:
# NbVMoW

A relaxed structure of NbVMoW (PBE, Alexandria).

Geometry as extended XYZ:
```
16
Lattice="6.3331 0.0000 0.0000 0.0000 6.3331 0.0000 0.0000 0.0000 6.3331" Properties=species:S:1:pos:R:3 pbc="T T T"
Nb 0.0000 0.0000 0.0000
Nb 0.0000 3.1665 3.1665
Nb 3.1665 0.0000 3.1665
Nb 3.1665 3.1665 0.0000
V 1.5833 1.5833 1.5833
V 1.5833 4.7498 4.7498
V 4.7498 1.5833 4.7498
V 4.7498 4.7498 1.5833
Mo 1.5833 1.5833 4.7498
Mo 1.5833 4.7498 1.5833
Mo 4.7498 1.5833 1.5833
Mo 4.7498 4.7498 4.7498
W 0.0000 0.0000 3.1665
W 0.0000 3.1665 0.0000
W 3.1665 0.0000 0.0000
W 3.1665 3.1665 3.1665
```

ΔE to the lowest computed polymorph, meV per atom: 0
DOS(E_F), states/eV/cell: 10.73
Formation enthalpy at 0 K, meV per atom: -88.1
Final energy, eV per atom: -10.83
Crystal system: cubic


Entry 5:
# Nb2V2MoW2

A relaxed structure of Nb2V2MoW2 (PBE, Alexandria).

Geometry as extended XYZ:
```
14
Lattice="11.9346 0.0000 0.0000 0.0000 3.1170 0.0000 -5.7334 0.0000 6.7091" Properties=species:S:1:pos:R:3 pbc="T T T"
Nb 0.5139 0.0000 2.2569
Nb -0.2800 1.5585 4.4521
Nb 6.4812 1.5585 2.2569
Nb 5.6873 0.0000 4.4521
V -3.3854 1.5585 4.2667
V 3.6194 0.0000 2.4423
V 2.5819 0.0000 4.2667
V 9.5867 1.5585 2.4423
Mo 0.0000 1.5585 0.0000
Mo 5.9673 0.0000 0.0000
W -3.7165 0.0000 6.3553
W 3.9504 1.5585 0.3537
W 2.2508 1.5585 6.3553
W 9.9177 0.0000 0.3537
```

DOS(E_F), states/eV/cell: 14.27
Formation enthalpy at 0 K, meV per atom: 685.8
Final energy, eV per atom: -10.04
Crystal system: monoclinic


Entry 6:
# Nb2VMo6W3

A relaxed structure of Nb2VMo6W3 (PBE, Alexandria).

Geometry as extended XYZ:
```
12
Lattice="-2.2531 4.4861 4.7746 2.2531 -4.4861 4.7746 2.2531 4.4861 -4.7746" Properties=species:S:1:pos:R:3 pbc="T T T"
Nb 0.0000 0.0000 1.6080
Nb 0.0000 0.0000 7.9412
V 0.0000 0.0000 4.7746
Mo 2.2531 2.2446 -1.5776
Mo 0.0000 2.2816 0.0000
Mo 2.2531 2.2446 1.5776
Mo 0.0000 2.2415 3.1970
Mo 0.0000 6.6906 0.0000
Mo 0.0000 2.2415 6.3522
W 2.2531 0.0000 0.0000
W 2.2531 0.0000 3.2185
W 0.0000 4.4861 1.5561
```

DOS(E_F), states/eV/cell: 6.45
Formation enthalpy at 0 K, meV per atom: -77.6
Final energy, eV per atom: -11.17
Crystal system: orthorhombic


Entry 7:
# NbV6Mo2W2

A relaxed structure of NbV6Mo2W2 (PBE, Alexandria).

Geometry as extended XYZ:
```
11
Lattice="2.6435 1.5262 7.1233 -2.6435 1.5262 7.1233 0.0000 -3.0524 7.1233" Properties=species:S:1:pos:R:3 pbc="T T T"
Nb 0.0000 0.0000 0.0000
V 0.0000 -1.5351 4.7548
V -1.3294 0.7675 4.7548
V -1.3294 -0.7675 16.6151
V 1.3294 0.7675 4.7548
V 1.3294 -0.7675 16.6151
V 0.0000 1.5351 16.6151
Mo 0.0000 0.0000 9.3956
Mo 0.0000 0.0000 11.9743
W 0.0000 0.0000 6.7491
W 0.0000 0.0000 14.6207
```

DOS(E_F), states/eV/cell: 9.67
Formation enthalpy at 0 K, meV per atom: 561.6
Final energy, eV per atom: -9.65
Crystal system: trigonal


Entry 8:
# NbVMoW

A relaxed structure of NbVMoW (PBE, Alexandria).

Geometry as extended XYZ:
```
8
Lattice="3.1564 0.0000 0.0000 0.0000 4.5072 0.0000 0.0000 0.0000 8.9255" Properties=species:S:1:pos:R:3 pbc="T T T"
Nb 0.0000 0.0000 0.0000
Nb 1.5782 2.2536 4.4628
V 0.0000 0.0000 4.4885
V 1.5782 2.2536 0.0257
Mo 0.0000 2.2536 2.2133
Mo 1.5782 0.0000 6.6761
W 0.0000 2.2536 6.7420
W 1.5782 0.0000 2.2793
```

ΔE to the lowest computed polymorph, meV per atom: 23
DOS(E_F), states/eV/cell: 8.02
Formation enthalpy at 0 K, meV per atom: -64.9
Final energy, eV per atom: -10.81
Crystal system: orthorhombic


Entry 9:
# NbVMo3W

A relaxed structure of NbVMo3W (PBE, Alexandria).

Geometry as extended XYZ:
```
12
Lattice="7.0620 0.0000 0.0000 0.0000 3.1675 0.0000 -2.8429 0.0000 8.5199" Properties=species:S:1:pos:R:3 pbc="T T T"
Nb -0.3557 0.7919 1.0856
Nb 4.5748 2.3756 7.4343
V 1.7861 2.3756 1.8026
V 2.4330 0.7919 6.7173
Mo 1.0719 0.7919 3.9048
Mo 0.3799 2.3756 6.0321
Mo -0.3287 0.7919 8.1806
Mo 4.5478 2.3756 0.3393
Mo 3.8392 0.7919 2.4878
Mo 3.1472 2.3756 4.6151
W -1.7682 0.7919 5.3026
W 5.9873 2.3756 3.2174
```

DOS(E_F), states/eV/cell: 6.54
Formation enthalpy at 0 K, meV per atom: -81.1
Final energy, eV per atom: -10.85
Crystal system: monoclinic


Entry 10:
# NbV2Mo5W

A relaxed structure of NbV2Mo5W (PBE, Alexandria).

Geometry as extended XYZ:
```
18
Lattice="1.5738 -6.6860 0.0000 1.5738 6.6860 0.0000 0.0000 0.0000 13.3426" Properties=species:S:1:pos:R:3 pbc="T T T"
Nb 1.5738 5.5942 6.6713
Nb 1.5738 -5.5942 0.0000
V 1.5738 1.1454 6.6891
V 1.5738 1.1114 11.1065
V 1.5738 -1.1114 4.4352
V 1.5738 -1.1454 0.0179
Mo 1.5738 5.5873 11.1448
Mo 1.5738 5.5638 2.2544
Mo 1.5738 3.3423 4.4674
Mo 1.5738 3.3270 8.9192
Mo 1.5738 1.0946 2.2710
Mo 1.5738 -1.0946 8.9423
Mo 1.5738 -3.3270 2.2480
Mo 1.5738 -3.3423 11.1387
Mo 1.5738 -5.5638 8.9257
Mo 1.5738 -5.5873 4.4735
W 1.5738 3.3787 0.0108
W 1.5738 -3.3787 6.6820
```

DOS(E_F), states/eV/cell: 11.23
Formation enthalpy at 0 K, meV per atom: -85.1
Final energy, eV per atom: -10.69
Crystal system: orthorhombic


Entry 11:
# ZrNbVMo

A relaxed structure of ZrNbVMo (PBE, Alexandria).

Geometry as extended XYZ:
```
16
Lattice="6.5566 0.0000 0.0000 0.0000 6.5566 0.0000 0.0000 0.0000 6.5566" Properties=species:S:1:pos:R:3 pbc="T T T"
Zr 0.0000 0.0000 0.0000
Zr 0.0000 3.2783 3.2783
Zr 3.2783 0.0000 3.2783
Zr 3.2783 3.2783 0.0000
Nb 0.0000 0.0000 3.2783
Nb 0.0000 3.2783 0.0000
Nb 3.2783 0.0000 0.0000
Nb 3.2783 3.2783 3.2783
V 1.6392 1.6392 1.6392
V 1.6392 4.9175 4.9175
V 4.9175 1.6392 4.9175
V 4.9175 4.9175 1.6392
Mo 1.6392 1.6392 4.9175
Mo 1.6392 4.9175 1.6392
Mo 4.9175 1.6392 1.6392
Mo 4.9175 4.9175 4.9175
```

DOS(E_F), states/eV/cell: 22.30
Formation enthalpy at 0 K, meV per atom: 54.6
Final energy, eV per atom: -9.59
Crystal system: cubic


Entry 12:
# Nb14MoW

A relaxed structure of Nb14MoW (PBE, Alexandria).

Geometry as extended XYZ:
```
16
Lattice="3.2914 -4.6848 0.0000 3.2914 4.6848 0.0000 0.0000 0.0000 9.2927" Properties=species:S:1:pos:R:3 pbc="T T T"
Nb 0.0000 0.0000 0.0000
Nb 1.6457 2.3424 0.0000
Nb 1.6457 2.3424 4.6464
Nb 3.2914 2.3529 2.3139
Nb 3.2914 2.3529 6.9788
Nb 1.6531 0.0000 2.4135
Nb 1.6531 0.0000 6.8793
Nb 1.6457 -2.3424 0.0000
Nb 1.6457 -2.3424 4.6464
Nb 3.2914 0.0000 0.0000
Nb 4.9297 0.0000 2.4135
Nb 4.9297 0.0000 6.8793
Nb 3.2914 -2.3529 2.3139
Nb 3.2914 -2.3529 6.9788
Mo 3.2914 0.0000 4.6464
W 0.0000 0.0000 4.6464
```

DOS(E_F), states/eV/cell: 25.75
Formation enthalpy at 0 K, meV per atom: -28.4
Final energy, eV per atom: -10.33
Crystal system: orthorhombic


Entry 13:
# Nb12MoW6

A relaxed structure of Nb12MoW6 (PBE, Alexandria).

Geometry as extended XYZ:
```
19
Lattice="5.5650 3.2130 3.2617 -5.5650 3.2130 3.2617 0.0000 -6.4259 3.2617" Properties=species:S:1:pos:R:3 pbc="T T T"
Nb 0.0000 -1.6654 2.4627
Nb -1.4423 0.8327 2.4627
Nb -2.4066 -1.3894 4.5106
Nb 0.0000 -2.7789 5.2745
Nb -2.4066 1.3894 5.2745
Nb 1.4423 0.8327 2.4627
Nb -1.4423 -0.8327 7.3224
Nb 2.4066 -1.3894 4.5106
Nb 0.0000 2.7789 4.5106
Nb 2.4066 1.3894 5.2745
Nb 1.4423 -0.8327 7.3224
Nb 0.0000 1.6654 7.3224
Mo 0.0000 0.0000 4.8925
W -1.4467 -3.9202 3.2617
W -4.1183 0.7073 3.2617
W 1.4467 -3.9202 3.2617
W -2.6717 3.2130 3.2617
W 4.1183 0.7073 3.2617
W 2.6717 3.2130 3.2617
```

DOS(E_F), states/eV/cell: 22.74
Formation enthalpy at 0 K, meV per atom: 357.8
Final energy, eV per atom: -10.66
Crystal system: trigonal


Entry 14:
# Nb2Mo2W

A relaxed structure of Nb2Mo2W (PBE, Alexandria).

Geometry as extended XYZ:
```
10
Lattice="2.2828 -6.9591 0.0000 2.2828 6.9591 0.0000 0.0000 0.0000 5.3907" Properties=species:S:1:pos:R:3 pbc="T T T"
Nb 2.2828 6.9401 2.6953
Nb 2.2828 4.2167 4.4851
Nb 2.2828 -4.2167 1.7898
Nb 2.2828 -6.9401 0.0000
Mo 2.2828 4.2781 1.7704
Mo 2.2828 1.4141 0.9339
Mo 2.2828 -1.4141 3.6292
Mo 2.2828 -4.2781 4.4657
W 2.2828 1.4475 3.6262
W 2.2828 -1.4475 0.9309
```

ΔE to the lowest computed polymorph, meV per atom: 278
DOS(E_F), states/eV/cell: 8.73
Formation enthalpy at 0 K, meV per atom: 172.3
Final energy, eV per atom: -10.78
Crystal system: orthorhombic


Entry 15:
# Nb4Mo2W3

A relaxed structure of Nb4Mo2W3 (PBE, Alexandria).

Geometry as extended XYZ:
```
18
Lattice="6.9742 -4.6834 0.0000 6.9742 4.6834 0.0000 -0.3495 0.0000 4.7615" Properties=species:S:1:pos:R:3 pbc="T T T"
Nb 5.8268 3.4932 4.6700
Nb 3.8689 1.1189 0.5942
Nb 7.5974 3.4932 2.4723
Nb 3.6941 -1.1189 2.9749
Nb 9.9047 1.1189 1.7866
Nb 6.0015 -3.4932 2.2892
Nb 9.7300 -1.1189 4.1674
Nb 7.7721 -3.4932 0.0915
Mo 5.2219 1.1438 3.2410
Mo 8.2022 1.1438 3.9013
Mo 5.3966 -1.1438 0.8603
Mo 8.3770 -1.1438 1.5205
W 2.1467 1.1782 2.7101
W 2.3214 -1.1782 0.3294
W 6.8868 1.0617 1.1904
W 6.7121 -1.0617 3.5711
W 11.2774 1.1782 4.4321
W 11.4522 -1.1782 2.0514
```

ΔE to the lowest computed polymorph, meV per atom: 305
DOS(E_F), states/eV/cell: 14.19
Formation enthalpy at 0 K, meV per atom: 203.6
Final energy, eV per atom: -11.00
Crystal system: monoclinic


Entry 16:
# Nb5Mo4W

A relaxed structure of Nb5Mo4W (PBE, Alexandria).

Geometry as extended XYZ:
```
10
Lattice="-4.1648 4.1648 2.6259 4.1648 -4.1648 2.6259 4.1648 4.1648 -2.6259" Properties=species:S:1:pos:R:3 pbc="T T T"
Nb 0.0000 0.0000 0.0000
Nb 5.4869 2.2836 -1.1019
Nb 2.2836 2.8426 -1.1019
Nb 1.8812 1.3221 1.5240
Nb -1.3221 1.8812 1.5240
Mo 3.9471 -1.2860 1.5109
Mo 4.3824 1.2860 1.5109
Mo 1.2860 3.9471 1.5109
Mo -1.2860 4.3824 1.5109
W 0.0000 0.0000 2.8642
```

ΔE to the lowest computed polymorph, meV per atom: 752
DOS(E_F), states/eV/cell: 10.82
Formation enthalpy at 0 K, meV per atom: 631.7
Final energy, eV per atom: -10.03
Crystal system: tetragonal


Entry 17:
# NbMo3W8

A relaxed structure of NbMo3W8 (PBE, Alexandria).

Geometry as extended XYZ:
```
12
Lattice="4.5029 0.0000 0.0000 -2.2469 3.9046 0.0000 -2.2181 -1.2790 11.6312" Properties=species:S:1:pos:R:3 pbc="T T T"
Nb 0.0000 0.0000 0.0000
Mo -2.2325 1.3128 5.8156
Mo 0.0099 2.6104 2.1254
Mo 0.0279 0.0152 9.5058
W -2.2318 1.3132 8.4944
W 0.0179 0.0110 3.9973
W -2.2171 1.3233 11.0485
W 0.0163 0.0122 6.7442
W 0.0215 2.6134 4.8869
W 2.2550 1.3023 0.5827
W 0.0199 2.6146 7.6339
W 2.2696 1.3124 3.1367
```

DOS(E_F), states/eV/cell: 7.86
Formation enthalpy at 0 K, meV per atom: 338.1
Final energy, eV per atom: -11.84
Crystal system: triclinic


Entry 18:
# Nb3Mo7W2

A relaxed structure of Nb3Mo7W2 (PBE, Alexandria).

Geometry as extended XYZ:
```
12
Lattice="2.2007 -10.7828 0.0000 2.2007 10.7828 0.0000 0.0000 0.0000 4.5621" Properties=species:S:1:pos:R:3 pbc="T T T"
Nb 0.0000 0.0000 0.0000
Nb 2.2007 7.4907 0.0000
Nb 2.2007 -7.4907 0.0000
Mo 2.2007 9.1847 2.2810
Mo 2.2007 6.1226 2.2810
Mo 2.2007 1.6143 0.0000
Mo 2.2007 0.0000 2.2810
Mo 2.2007 -1.6143 0.0000
Mo 2.2007 -6.1226 2.2810
Mo 2.2007 -9.1847 2.2810
W 2.2007 3.1446 2.2810
W 2.2007 -3.1446 2.2810
```

DOS(E_F), states/eV/cell: 10.25
Formation enthalpy at 0 K, meV per atom: 343.4
Final energy, eV per atom: -10.65
Crystal system: orthorhombic


Entry 19:
# NbMoW6

A relaxed structure of NbMoW6 (PBE, Alexandria).

Geometry as extended XYZ:
```
8
Lattice="3.6816 2.1255 3.2292 -3.6816 2.1255 3.2292 0.0000 -4.2511 3.2292" Properties=species:S:1:pos:R:3 pbc="T T T"
Nb 0.0000 0.0000 0.0000
Mo 0.0000 0.0000 4.8439
W 0.0000 -1.5741 2.7660
W -1.3632 0.7870 2.7660
W -1.3632 -0.7870 6.9217
W 1.3632 0.7870 2.7660
W 1.3632 -0.7870 6.9217
W 0.0000 1.5741 6.9217
```

ΔE to the lowest computed polymorph, meV per atom: 1317
DOS(E_F), states/eV/cell: 9.66
Formation enthalpy at 0 K, meV per atom: 1271.6
Final energy, eV per atom: -11.06
Crystal system: trigonal


Entry 20:
# NbMo6W12

A relaxed structure of NbMo6W12 (PBE, Alexandria).

Geometry as extended XYZ:
```
19
Lattice="5.2420 3.0265 3.7962 -5.2420 3.0265 3.7962 0.0000 -6.0529 3.7962" Properties=species:S:1:pos:R:3 pbc="T T T"
Nb 0.0000 0.0000 0.0000
Mo 0.0000 -3.1716 4.0467
Mo -2.7467 1.5858 4.0467
Mo -2.7467 -1.5858 7.3419
Mo 2.7467 1.5858 4.0467
Mo 2.7467 -1.5858 7.3419
Mo 0.0000 3.1716 7.3419
W -1.9144 -3.3158 5.6943
W -3.8287 0.0000 5.6943
W -1.5900 -0.9180 4.4209
W 1.5899 -0.9180 4.4209
W 0.0000 1.8359 4.4209
W 1.9144 -3.3158 5.6943
W -1.9144 3.3158 5.6943
W 0.0000 -1.8359 6.9677
W -1.5900 0.9180 6.9677
W 1.5899 0.9180 6.9677
W 3.8288 0.0000 5.6943
W 1.9144 3.3158 5.6943
```

DOS(E_F), states/eV/cell: 18.73
Formation enthalpy at 0 K, meV per atom: 1092.1
Final energy, eV per atom: -11.04
Crystal system: trigonal


Entry 21:
# NbMoW

A relaxed structure of NbMoW (PBE, Alexandria).

Geometry as extended XYZ:
```
3
Lattice="4.5364 0.0000 0.0000 -2.2682 3.9286 0.0000 0.0000 0.0000 2.7960" Properties=species:S:1:pos:R:3 pbc="T T T"
Nb 0.0000 0.0000 0.0000
Mo 0.0000 2.6191 1.8763
W 2.2682 1.3095 0.9672
```

ΔE to the lowest computed polymorph, meV per atom: 23
DOS(E_F), states/eV/cell: 1.68
Formation enthalpy at 0 K, meV per atom: -80.1
Final energy, eV per atom: -11.36
Crystal system: trigonal